# Nb2VNiN

A geometry-optimized Nb2VNiN structure (PBE, the Alexandria database).

The value obtained for the formation energy (no corrections) is -0.4634 eV per atom.

The structure belongs to space group P4/mmm (No. 123); the cell edges are 4.263, 4.263 and 3.789 Å and the angles 90.00°, 90.00° and 90.00°. The asymmetric unit holds Nb at (0.000, 0.500, 0.000), V at (0.000, 0.000, 0.500), Ni at (0.500, 0.500, 0.500) and N at (0.000, 0.000, 0.000).